Entry from Alexandria via LeMat-Bulk: a geometry-optimized Ga2PAu2 structure (PBE).

N(E_F) in states/eV per cell: 4.41
Energy relative to the elements in eV/atom: 0.139
SG: P4/mbm (127)
Raw total energy in eV/f.u.: -17.3

a b c (Å): 7.3264 7.3264 3.4670
angles (deg): 90.00 90.00 90.00
Element x y z (fractional)
Ga: 0.1632 0.3368 0.0000
Ga: 0.3368 0.8368 0.0000
Ga: 0.6632 0.1632 0.0000
Ga: 0.8368 0.6632 0.0000
P: 0.0000 0.0000 0.5000
P: 0.5000 0.5000 0.5000
Au: 0.1411 0.6411 0.5000
Au: 0.3589 0.1411 0.5000
Au: 0.6411 0.8589 0.5000
Au: 0.8589 0.3589 0.5000

***

Entry from Alexandria via LeMat-Bulk: a geometry-optimized LiScPd structure (PBE).

N(E_F) in states/eV per cell: 4.25
Energy relative to the elements in eV/atom: -0.548
SG: P-3m1 (164)
Raw total energy in eV/f.u.: -15.1

a b c (Å): 4.6804 4.6804 5.5096
angles (deg): 90.00 90.00 120.00
Element x y z (fractional)
Li: 0.0000 0.0000 0.0000
Li: 0.0000 0.0000 0.5000
Sc: 0.3333 0.6667 0.3010
Sc: 0.6667 0.3333 0.6990
Pd: 0.3333 0.6667 0.8023
Pd: 0.6667 0.3333 0.1977